#one
YSb2Pd2 | PBE | relaxed

Summary:
Space group: I4/mmm
M_tot: 0.00 μB/atom

abc: 4.4309 4.4309 6.5106
angles: 70.11 70.11 90.00
Fractional coordinates of all 5 atoms:
Y: 0.0000 0.0000 0.0000
Sb: 0.3772 0.3772 0.2455
Sb: 0.6228 0.6228 0.7545
Pd: 0.7500 0.2500 0.5000
Pd: 0.2500 0.7500 0.5000

#two
YSb2Pd2 | PBE | relaxed

Summary:
Space group: P4/mbm
M_tot: 0.10 μB/atom

abc: 8.0590 8.0590 3.3192
angles: 90.00 90.00 90.00
Fractional coordinates of all 10 atoms:
Y: 0.0000 0.0000 0.0000
Y: 0.5000 0.5000 0.0000
Sb: 0.3495 0.8495 0.0000
Sb: 0.8495 0.6505 0.0000
Sb: 0.6505 0.1505 0.0000
Sb: 0.1505 0.3495 0.0000
Pd: 0.1449 0.6449 0.5000
Pd: 0.6449 0.8551 0.5000
Pd: 0.8551 0.3551 0.5000
Pd: 0.3551 0.1449 0.5000

#three
YSb2Pd2 | PBE | relaxed

Summary:
Space group: P4/mbm
M_tot: 0.00 μB/atom

abc: 7.6500 7.6500 3.6975
angles: 90.00 90.00 90.00
Fractional coordinates of all 10 atoms:
Y: 0.0000 0.0000 0.0000
Y: 0.5000 0.5000 0.0000
Sb: 0.1788 0.6788 0.5000
Sb: 0.6788 0.8212 0.5000
Sb: 0.8212 0.3212 0.5000
Sb: 0.3212 0.1788 0.5000
Pd: 0.3747 0.8747 0.0000
Pd: 0.8747 0.6253 0.0000
Pd: 0.6253 0.1253 0.0000
Pd: 0.1253 0.3747 0.0000

Which one sits at the top of the stability order? #one does.

#one
Zn2Sb2Pd | PBE | relaxed

Summary:
Space group: I4/mmm
M_tot: 0.00 μB/atom

abc: 3.4596 3.4596 9.2062
angles: 79.17 79.17 90.00
Fractional coordinates of all 5 atoms:
Sb: 0.4073 0.4073 0.1855
Sb: 0.5927 0.5927 0.8145
Zn: 0.7500 0.2500 0.5000
Zn: 0.2500 0.7500 0.5000
Pd: 0.0000 0.0000 0.0000

#two
Zn2Sb2Pd | PBE | relaxed

Summary:
Space group: P4/mbm
M_tot: 0.00 μB/atom

abc: 7.3768 7.3768 3.9940
angles: 90.00 90.00 90.00
Fractional coordinates of all 10 atoms:
Sb: 0.3170 0.8170 0.0000
Sb: 0.8170 0.6830 0.0000
Sb: 0.6830 0.1830 0.0000
Sb: 0.1830 0.3170 0.0000
Zn: 0.1256 0.6256 0.5000
Zn: 0.6256 0.8744 0.5000
Zn: 0.8744 0.3744 0.5000
Zn: 0.3744 0.1256 0.5000
Pd: 0.0000 0.0000 0.0000
Pd: 0.5000 0.5000 0.0000

Which one sits at the top of the stability order? #one does.

#one
Zn2SbPd2 | PBE | relaxed

Summary:
Space group: I4/mmm
M_tot: 0.00 μB/atom

abc: 4.0804 4.0804 6.2115
angles: 70.83 70.83 90.00
Fractional coordinates of all 5 atoms:
Sb: 0.0000 0.0000 0.0000
Zn: 0.3879 0.3879 0.2242
Zn: 0.6121 0.6121 0.7758
Pd: 0.7500 0.2500 0.5000
Pd: 0.2500 0.7500 0.5000

#two
Zn2SbPd2 | PBE | relaxed

Summary:
Space group: P4/mbm
M_tot: 0.00 μB/atom

abc: 7.4491 7.4491 3.0586
angles: 90.00 90.00 90.00
Fractional coordinates of all 10 atoms:
Sb: 0.0000 0.0000 0.0000
Sb: 0.5000 0.5000 0.0000
Zn: 0.1477 0.6477 0.5000
Zn: 0.6477 0.8523 0.5000
Zn: 0.8523 0.3523 0.5000
Zn: 0.3523 0.1477 0.5000
Pd: 0.3540 0.8540 0.0000
Pd: 0.8540 0.6460 0.0000
Pd: 0.6460 0.1460 0.0000
Pd: 0.1460 0.3540 0.0000

#three
Zn2SbPd2 | PBE | relaxed

Summary:
Space group: P4/mbm
M_tot: 0.00 μB/atom

abc: 7.5532 7.5532 2.9708
angles: 90.00 90.00 90.00
Fractional coordinates of all 10 atoms:
Sb: 0.0000 0.0000 0.0000
Sb: 0.5000 0.5000 0.0000
Zn: 0.3759 0.8759 0.0000
Zn: 0.8759 0.6241 0.0000
Zn: 0.6241 0.1241 0.0000
Zn: 0.1241 0.3759 0.0000
Pd: 0.1682 0.6682 0.5000
Pd: 0.6682 0.8318 0.5000
Pd: 0.8318 0.3318 0.5000
Pd: 0.3318 0.1682 0.5000

#four
Zn2SbPd2 | PBE | relaxed

Summary:
Space group: I4/mmm
M_tot: 0.00 μB/atom

abc: 3.5895 3.5895 7.2118
angles: 75.59 75.59 90.00
Fractional coordinates of all 5 atoms:
Sb: 0.0000 0.0000 0.0000
Zn: 0.7500 0.2500 0.5000
Zn: 0.2500 0.7500 0.5000
Pd: 0.3959 0.3959 0.2082
Pd: 0.6041 0.6041 0.7918

Which one sits at the top of the stability order? #two does.

#one
ZrSb3Pd | PBE | relaxed

Summary:
Space group: Pm-3m
M_tot: 0.00 μB/atom

abc: 5.4779 5.4779 5.4779
angles: 90.00 90.00 90.00
Fractional coordinates of all 5 atoms:
Sb: 0.0000 0.5000 0.0000
Sb: 0.0000 0.0000 0.5000
Sb: 0.5000 0.0000 0.0000
Zr: 0.0000 0.0000 0.0000
Pd: 0.5000 0.5000 0.5000

#two
ZrSb3Pd | PBE | relaxed

Summary:
Space group: Pm-3m
M_tot: 0.00 μB/atom

abc: 5.1656 5.1656 5.1656
angles: 90.00 90.00 90.00
Fractional coordinates of all 5 atoms:
Sb: 0.0000 0.5000 0.0000
Sb: 0.0000 0.0000 0.5000
Sb: 0.5000 0.0000 0.0000
Zr: 0.5000 0.5000 0.5000
Pd: 0.0000 0.0000 0.0000

Which one sits at the top of the stability order? #two does.

#one
Zr2Sb3Pd | PBE | relaxed

Summary:
Space group: P-4m2
M_tot: 0.00 μB/atom

abc: 3.9592 3.9592 8.7087
angles: 90.00 90.00 90.00
Fractional coordinates of all 6 atoms:
Zr: 0.5000 0.0000 0.7380
Zr: 0.0000 0.5000 0.2620
Sb: 0.5000 0.0000 0.3822
Sb: 0.0000 0.5000 0.6178
Sb: 0.0000 0.0000 0.0000
Pd: 0.5000 0.5000 0.0000

#two
Zr2Sb3Pd | PBE | relaxed

Summary:
Space group: Pnma
M_tot: 0.00 μB/atom

abc: 4.0616 10.2798 13.1988
angles: 90.00 90.00 90.00
Fractional coordinates of all 24 atoms:
Zr: 0.2500 0.6574 0.5155
Zr: 0.7500 0.3426 0.4845
Zr: 0.7500 0.1574 0.9845
Zr: 0.2500 0.8426 0.0155
Zr: 0.2500 0.9768 0.3258
Zr: 0.7500 0.0232 0.6742
Zr: 0.7500 0.4768 0.1742
Zr: 0.2500 0.5232 0.8258
Sb: 0.2500 0.3666 0.0293
Sb: 0.7500 0.6334 0.9707
Sb: 0.7500 0.8666 0.4707
Sb: 0.2500 0.1334 0.5293
Sb: 0.2500 0.7023 0.2261
Sb: 0.7500 0.2977 0.7739
Sb: 0.7500 0.2023 0.2739
Sb: 0.2500 0.7977 0.7261
Sb: 0.2500 0.4412 0.3431
Sb: 0.7500 0.5588 0.6569
Sb: 0.7500 0.9412 0.1569
Sb: 0.2500 0.0588 0.8431
Pd: 0.2500 0.1270 0.1365
Pd: 0.7500 0.8730 0.8635
Pd: 0.7500 0.6270 0.3635
Pd: 0.2500 0.3730 0.6365

Which one sits at the top of the stability order? #one does.

#one
Sc3Pd4 | PBE | relaxed

Summary:
Space group: R-3m
M_tot: 0.00 μB/atom

abc: 4.5702 4.5702 7.9084
angles: 73.21 73.21 60.00
Fractional coordinates of all 7 atoms:
Sc: 0.2423 0.2423 0.2732
Sc: 0.7577 0.7577 0.7268
Sc: 0.0000 0.0000 0.0000
Pd: 0.6277 0.6277 0.1168
Pd: 0.8778 0.8778 0.3667
Pd: 0.1222 0.1222 0.6333
Pd: 0.3723 0.3723 0.8832

#two
Sc3Pd4 | PBE | relaxed

Summary:
Space group: R-3
M_tot: 0.00 μB/atom

abc: 5.5912 7.4004 7.4004
angles: 113.88 104.59 104.59
Fractional coordinates of all 14 atoms:
Sc: 0.1027 0.6081 0.8663
Sc: 0.2364 0.1337 0.7418
Sc: 0.4946 0.2582 0.3919
Sc: 0.8973 0.3919 0.1337
Sc: 0.7636 0.8663 0.2582
Sc: 0.5054 0.7418 0.6081
Pd: 0.5000 0.0000 0.0000
Pd: 0.0000 0.0000 0.0000
Pd: 0.9484 0.6917 0.5299
Pd: 0.4185 0.4701 0.1618
Pd: 0.2567 0.8382 0.3083
Pd: 0.0516 0.3083 0.4701
Pd: 0.5815 0.5299 0.8382
Pd: 0.7433 0.1618 0.6917

Which one sits at the top of the stability order? #two does.

#one
Sc4Pd | PBE | relaxed

Summary:
Space group: Fdd2
M_tot: 0.00 μB/atom

abc: 6.8102 6.8102 6.7678
angles: 103.86 103.86 121.60
Fractional coordinates of all 10 atoms:
Sc: 0.6355 0.4871 0.7444
Sc: 0.7427 0.8912 0.2556
Sc: 0.7706 0.0212 0.8495
Sc: 0.1718 0.9211 0.1505
Sc: 0.2712 0.5206 0.3495
Sc: 0.1711 0.9218 0.6505
Sc: 0.1412 0.4927 0.7556
Sc: 0.7371 0.3855 0.2444
Pd: 0.3314 0.3314 0.0000
Pd: 0.5814 0.0814 0.5000

#two
Sc4Pd | PBE | relaxed

Summary:
Space group: Pm-3m
M_tot: 0.00 μB/atom

abc: 5.0809 5.0809 5.0809
angles: 90.00 90.00 90.00
Fractional coordinates of all 5 atoms:
Sc: 0.0000 0.0000 0.0000
Sc: 0.5000 0.0000 0.5000
Sc: 0.0000 0.5000 0.5000
Sc: 0.5000 0.5000 0.0000
Pd: 0.5000 0.5000 0.5000

Which one sits at the top of the stability order? #one does.

#one
Sc5Pd2 | PBE | relaxed

Summary:
Space group: C2/c
M_tot: 0.00 μB/atom

abc: 6.6530 6.3713 7.6722
angles: 90.15 115.69 90.00
Fractional coordinates of all 14 atoms:
Sc: 0.2383 0.4978 0.1803
Sc: 0.0581 0.0022 0.8197
Sc: 0.2732 0.7497 0.5465
Sc: 0.7268 0.7503 0.4535
Sc: 0.7268 0.2503 0.4535
Sc: 0.2732 0.2497 0.5465
Sc: 0.9419 0.9978 0.1803
Sc: 0.7617 0.5022 0.8197
Sc: 0.5020 0.2500 0.0000
Sc: 0.4980 0.7500 0.0000
Pd: 0.1214 0.4998 0.7569
Pd: 0.3646 0.0002 0.2431
Pd: 0.8786 0.5002 0.2431
Pd: 0.6354 0.9998 0.7569

#two
Sc5Pd2 | PBE | relaxed

Summary:
Space group: Ibam
M_tot: 0.00 μB/atom

abc: 6.3537 6.6361 8.3533
angles: 113.40 112.35 90.00
Fractional coordinates of all 14 atoms:
Sc: 0.0888 0.2333 0.1777
Sc: 0.9112 0.7667 0.8223
Sc: 0.5888 0.9444 0.1777
Sc: 0.4112 0.0556 0.8223
Sc: 0.4761 0.7261 0.4522
Sc: 0.0239 0.2739 0.5478
Sc: 0.5239 0.2739 0.5478
Sc: 0.9761 0.7261 0.4522
Sc: 0.7500 0.5000 0.0000
Sc: 0.2500 0.5000 0.0000
Pd: 0.3758 0.6314 0.7517
Pd: 0.6242 0.3686 0.2483
Pd: 0.8758 0.1202 0.7517
Pd: 0.1242 0.8798 0.2483

Which one sits at the top of the stability order? #one does.

#one
Sc5Pd3 | PBE | relaxed

Summary:
Space group: I4/mcm
M_tot: 0.15 μB/atom

abc: 5.5773 8.0567 8.0567
angles: 83.12 69.75 69.75
Fractional coordinates of all 16 atoms:
Sc: 0.2500 0.5000 0.5000
Sc: 0.7500 0.5000 0.5000
Sc: 0.9181 0.8675 0.2964
Sc: 0.0819 0.1325 0.7036
Sc: 0.4181 0.2964 0.8675
Sc: 0.5819 0.7036 0.1325
Sc: 0.7144 0.8675 0.7036
Sc: 0.2856 0.1325 0.2964
Sc: 0.7856 0.2964 0.1325
Sc: 0.2144 0.7036 0.8675
Pd: 0.2500 0.0000 0.0000
Pd: 0.7500 0.0000 0.0000
Pd: 0.8373 0.5000 0.8254
Pd: 0.1627 0.5000 0.1746
Pd: 0.3373 0.8254 0.5000
Pd: 0.6627 0.1746 0.5000

#two
Sc5Pd3 | PBE | relaxed

Summary:
Space group: P-62m
M_tot: 0.12 μB/atom

abc: 2.9582 7.7779 7.7779
angles: 120.00 90.00 90.00
Fractional coordinates of all 8 atoms:
Sc: 0.0000 0.6667 0.3333
Sc: 0.0000 0.3333 0.6667
Sc: 0.0000 0.0000 0.2331
Sc: 0.0000 0.2331 0.0000
Sc: 0.0000 0.7669 0.7669
Pd: 0.5000 0.0000 0.6224
Pd: 0.5000 0.6224 0.0000
Pd: 0.5000 0.3776 0.3776

Which one sits at the top of the stability order? #one does.

#one
ScPd2Se2 | PBE | relaxed

Summary:
Space group: I4/mmm
M_tot: 0.00 μB/atom

abc: 3.9459 3.9459 6.8814
angles: 73.34 73.34 90.00
Fractional coordinates of all 5 atoms:
Sc: 0.0000 0.0000 0.0000
Se: 0.7500 0.2500 0.5000
Se: 0.2500 0.7500 0.5000
Pd: 0.3957 0.3957 0.2086
Pd: 0.6043 0.6043 0.7914

#two
ScPd2Se2 | PBE | relaxed

Summary:
Space group: P4/mbm
M_tot: 0.00 μB/atom

abc: 7.1297 7.1297 3.6488
angles: 90.00 90.00 90.00
Fractional coordinates of all 10 atoms:
Sc: 0.0000 0.0000 0.0000
Sc: 0.5000 0.5000 0.0000
Se: 0.1853 0.6853 0.5000
Se: 0.6853 0.8147 0.5000
Se: 0.8147 0.3147 0.5000
Se: 0.3147 0.1853 0.5000
Pd: 0.3694 0.8694 0.0000
Pd: 0.8694 0.6306 0.0000
Pd: 0.6306 0.1306 0.0000
Pd: 0.1306 0.3694 0.0000

Which one sits at the top of the stability order? #two does.